LiFeI2 | PBE | relaxed

Computed properties:
- energy above the lowest structure with this stoichiometry (eV/atom) = 0.3575
- formation energy without anion corrections (eV per atom) = 0.06

a = 7.3320 Å, b = 7.3320 Å, c = 7.3320 Å
α = 90.00°, β = 90.00°, γ = 90.00°
Sites, in units of the cell vectors:
Li (0.0000, 0.0000, 0.0000)
Li (0.0000, 0.5000, 0.5000)
Li (0.5000, 0.0000, 0.5000)
Li (0.5000, 0.5000, 0.0000)
Fe (0.0000, 0.0000, 0.5000)
Fe (0.0000, 0.5000, 0.0000)
Fe (0.5000, 0.0000, 0.0000)
Fe (0.5000, 0.5000, 0.5000)
I (0.2500, 0.2500, 0.2500)
I (0.2500, 0.2500, 0.7500)
I (0.2500, 0.7500, 0.2500)
I (0.2500, 0.7500, 0.7500)
I (0.7500, 0.2500, 0.2500)
I (0.7500, 0.2500, 0.7500)
I (0.7500, 0.7500, 0.2500)
I (0.7500, 0.7500, 0.7500)


LiFe4I12 | PBE | relaxed

Computed properties:
- formation energy without anion corrections (eV per atom) = 0.02

a = 9.5725 Å, b = 9.5725 Å, c = 9.5725 Å
α = 109.47°, β = 109.47°, γ = 109.47°
Sites, in units of the cell vectors:
Li (0.0000, 0.0000, 0.0000)
Fe (0.0000, 0.0000, 0.5000)
Fe (0.0000, 0.5000, 0.0000)
Fe (0.5000, 0.0000, 0.0000)
Fe (0.5000, 0.5000, 0.5000)
I (0.0000, 0.2461, 0.7539)
I (0.0000, 0.7539, 0.2461)
I (0.2461, 0.0000, 0.7539)
I (0.2461, 0.2461, 0.4922)
I (0.2461, 0.4922, 0.2461)
I (0.2461, 0.7539, 0.0000)
I (0.4922, 0.2461, 0.2461)
I (0.5078, 0.7539, 0.7539)
I (0.7539, 0.0000, 0.2461)
I (0.7539, 0.2461, 0.0000)
I (0.7539, 0.5078, 0.7539)
I (0.7539, 0.7539, 0.5078)


LiFe2I | PBE | relaxed

Computed properties:
- energy above the lowest structure with this stoichiometry (eV/atom) = 0.1003
- formation energy without anion corrections (eV per atom) = 0.78

a = 7.6388 Å, b = 7.6388 Å, c = 5.1083 Å
α = 90.00°, β = 90.00°, γ = 90.00°
Sites, in units of the cell vectors:
Li (0.0000, 0.0000, 0.0000)
Li (0.0000, 0.5000, 0.2500)
Li (0.5000, 0.0000, 0.7500)
Li (0.5000, 0.5000, 0.5000)
Fe (0.2258, 0.2500, 0.6250)
Fe (0.2500, 0.7258, 0.8750)
Fe (0.2500, 0.7742, 0.3750)
Fe (0.2742, 0.2500, 0.1250)
Fe (0.7258, 0.7500, 0.1250)
Fe (0.7500, 0.2258, 0.3750)
Fe (0.7500, 0.2742, 0.8750)
Fe (0.7742, 0.7500, 0.6250)
I (0.0000, 0.0000, 0.5000)
I (0.0000, 0.5000, 0.7500)
I (0.5000, 0.0000, 0.2500)
I (0.5000, 0.5000, 0.0000)


Li2FeI | PBE | relaxed

Computed properties:
- energy above the lowest structure with this stoichiometry (eV/atom) = 0.0118
- formation energy without anion corrections (eV per atom) = 0.33

a = 6.8636 Å, b = 6.8636 Å, c = 6.8636 Å
α = 90.00°, β = 90.00°, γ = 90.00°
Sites, in units of the cell vectors:
Li (0.2500, 0.2500, 0.2500)
Li (0.2500, 0.2500, 0.7500)
Li (0.2500, 0.7500, 0.2500)
Li (0.2500, 0.7500, 0.7500)
Li (0.7500, 0.2500, 0.2500)
Li (0.7500, 0.2500, 0.7500)
Li (0.7500, 0.7500, 0.2500)
Li (0.7500, 0.7500, 0.7500)
Fe (0.0000, 0.0000, 0.0000)
Fe (0.0000, 0.5000, 0.5000)
Fe (0.5000, 0.0000, 0.5000)
Fe (0.5000, 0.5000, 0.0000)
I (0.0000, 0.0000, 0.5000)
I (0.0000, 0.5000, 0.0000)
I (0.5000, 0.0000, 0.0000)
I (0.5000, 0.5000, 0.5000)


LiFe2I6 | PBE | relaxed

Computed properties:
- formation energy without anion corrections (eV per atom) = -0.40

a = 7.6054 Å, b = 7.6054 Å, c = 14.5981 Å
α = 103.63°, β = 103.63°, γ = 88.88°
Sites, in units of the cell vectors:
Li (0.1587, 0.8413, 0.7500)
Li (0.8413, 0.1587, 0.2500)
Fe (0.0854, 0.3932, 0.9258)
Fe (0.3932, 0.0854, 0.4258)
Fe (0.6068, 0.9146, 0.5742)
Fe (0.9146, 0.6068, 0.0742)
I (0.0758, 0.2001, 0.4325)
I (0.1450, 0.4816, 0.7768)
I (0.2001, 0.0758, 0.9325)
I (0.2636, 0.6140, 0.0850)
I (0.3860, 0.7364, 0.4150)
I (0.4816, 0.1450, 0.2768)
I (0.5184, 0.8550, 0.7232)
I (0.6140, 0.2636, 0.5850)
I (0.7364, 0.3860, 0.9150)
I (0.7999, 0.9242, 0.0675)
I (0.8550, 0.5184, 0.2232)
I (0.9242, 0.7999, 0.5675)


Li2FeI6 | PBE | relaxed

Computed properties:
- formation energy without anion corrections (eV per atom) = -0.50

a = 9.9424 Å, b = 9.9424 Å, c = 9.5110 Å
α = 107.11°, β = 107.11°, γ = 21.41°
Sites, in units of the cell vectors:
Li (0.1815, 0.1815, 0.3482)
Li (0.8185, 0.8185, 0.6518)
Fe (0.5000, 0.5000, 0.0000)
I (0.0023, 0.0023, 0.7882)
I (0.3338, 0.3338, 0.4284)
I (0.3487, 0.3487, 0.9047)
I (0.6513, 0.6513, 0.0953)
I (0.6662, 0.6662, 0.5716)
I (0.9977, 0.9977, 0.2118)